No. 1
Pd4WAu | GGA-PBE | optimized geometry

```
Pd4WAu
1.0
2.804 0.000 0.000
0.000 4.024 0.000
0.000 0.000 8.368
Pd W Au
4 1 1
direct
0.000 0.000 0.160
0.000 0.000 0.840
0.500 0.500 0.321
0.500 0.500 0.679
0.500 0.500 0.000
0.000 0.000 0.500
```

Calculated values
spin magnetization: 0.00 μB per formula unit
uncorrected energy: -37.5 eV per formula unit


No. 2
PdW2Au2 | GGA-PBE | optimized geometry

```
PdW2Au2
1.0
7.968 0.000 0.000
0.000 7.968 0.000
0.000 0.000 2.805
Pd W Au
2 4 4
direct
0.000 0.000 0.000
0.500 0.500 0.000
0.116 0.384 0.000
0.384 0.884 0.000
0.616 0.116 0.000
0.884 0.616 0.000
0.177 0.677 0.500
0.323 0.177 0.500
0.677 0.823 0.500
0.823 0.323 0.500
```

Calculated values
spin magnetization: 0.00 μB per formula unit
E above lowest polymorph: 0.0 kJ/mol of formula units